VASP calculation (PBE-GGA) on a geometry-optimized Rb4AlI7 structure.

```
Rb4AlI7
1.0
7.117 0.000 2.367
3.926 8.000 0.079
0.120 -2.432 11.522
Al Rb I
1 4 7
Cartesian
6.816 0.000 2.267
5.292 0.411 6.983
2.614 2.872 2.887
7.868 2.696 10.855
5.349 5.157 6.811
6.217 2.416 4.036
4.275 6.586 2.027
1.566 -1.018 10.172
4.325 3.152 9.725
4.385 0.000 1.458
1.765 0.590 5.746
8.901 4.978 8.057
```

Output
For the total moment, the calculation gives 0.00 μB per cell. The crystal system is monoclinic. For the energy, the calculation gives -32.63 eV per cell. The calculation puts the volume at 52.7 Å³ per atom. Its formation energy (no corrections) is -1.181 eV/atom.

***

VASP calculation (PBE-GGA) on a geometry-optimized Rb2AlI structure.

```
Rb2AlI
1.0
0.000 4.533 4.533
4.533 0.000 4.533
4.533 4.533 0.000
I Rb Al
1 2 1
Cartesian
4.533 4.533 4.533
6.800 6.800 6.800
2.267 2.267 2.267
0.000 0.000 0.000
```

Output
For the total moment, the calculation gives 2.00 μB per cell. The crystal system is cubic. For the energy, the calculation gives -7.86 eV per cell. The calculation puts the volume at 46.6 Å³ per atom. Its formation energy (no corrections) is -0.157 eV/atom.

***

VASP calculation (PBE-GGA) on a geometry-optimized RbAl2I6 structure.

```
RbAl2I6
1.0
-0.129 -3.780 -7.478
1.170 -8.281 -0.530
-7.618 -5.192 -1.939
I Al Rb
6 2 1
Cartesian
-4.764 -10.661 -1.930
-1.383 -7.109 -3.028
-5.319 -10.530 -7.772
-1.038 -10.776 -5.151
-5.764 -5.568 -4.670
-1.764 -7.158 -7.261
-0.729 -8.250 -5.208
-5.583 -13.035 -7.400
-6.914 -9.160 -4.641
```

Output
For the total moment, the calculation gives 1.00 μB per cell. The crystal system is trigonal. For the energy, the calculation gives -24.46 eV per cell. The calculation puts the volume at 54.6 Å³ per atom. Its formation energy (no corrections) is -0.745 eV/atom.